No. 1
KIr after structural relaxation, computed with PBE-GGA.

Summary:
Space-group type: R-3m, No. 166
Relative energy among the computed polymorphs, meV/atom: 703.8
N(E_F), states/eV per cell: 5.595
Formation energy, eV/atom: 1.07
Magnetization, μB per atom: 0.2717
Crystal system: trigonal

Cell: 4.9941 4.9941 4.9941 Å, 63.80 63.80 63.80°
Fractional coordinates of all 4 atoms:
K: 0.1279 0.1279 0.1279
K: 0.8721 0.8721 0.8721
Ir: 0.3999 0.3999 0.3999
Ir: 0.6001 0.6001 0.6001

=====

No. 2
Ba8BiPd3I4 after structural relaxation, computed with PBE-GGA.

Summary:
Space-group type: R-3m, No. 166
N(E_F), states/eV per cell: 8.841
Magnetization, μB per atom: 0.0516
Crystal system: trigonal
Energy relative to the elements, uncorrected, meV/atom: -1040

Cell: 10.2993 10.2993 10.2993 Å, 55.73 55.73 55.73°
Fractional coordinates of all 16 atoms:
Ba: 0.2186 0.7434 0.7434
Ba: 0.2367 0.2367 0.2367
Ba: 0.2566 0.2566 0.7814
Ba: 0.2566 0.7814 0.2566
Ba: 0.7434 0.2186 0.7434
Ba: 0.7434 0.7434 0.2186
Ba: 0.7633 0.7633 0.7633
Ba: 0.7814 0.2566 0.2566
Bi: 0.5000 0.5000 0.5000
Pd: 0.0000 0.0000 0.5000
Pd: 0.0000 0.5000 0.0000
Pd: 0.5000 0.0000 0.0000
I: 0.0000 0.0000 0.0000
I: 0.0000 0.5000 0.5000
I: 0.5000 0.0000 0.5000
I: 0.5000 0.5000 0.0000